(1)
Tb8Sm2Y3 | PBE | optimized geometry

Geometry as POSCAR:
```
Tb8Sm2Y3
1.0
10.278 -3.818 0.000
10.278 3.818 0.000
-0.002 0.000 5.607
Tb Sm Y
8 2 3
Direct
0.104 0.682 0.000
0.165 0.165 0.501
0.318 0.896 0.000
0.368 0.368 0.500
0.632 0.632 0.500
0.682 0.104 0.000
0.835 0.835 0.499
0.896 0.318 0.000
0.259 0.259 0.001
0.741 0.741 0.999
0.215 0.785 0.500
0.500 0.500 0.000
0.785 0.215 0.500
```

## Properties
energy of formation	293	kJ/mol of formula units
E	-4.83	eV/atom
SG	C2/m (12)

(2)
AcMg12Cd6 | PBE | optimized geometry

Geometry as POSCAR:
```
AcMg12Cd6
1.0
6.377 3.682 3.334
-6.377 3.682 3.334
0.000 -7.364 3.334
Ac Mg Cd
1 12 6
Direct
0.000 0.000 0.000
0.113 0.500 0.887
0.113 0.887 0.500
0.153 0.409 0.409
0.409 0.153 0.409
0.409 0.409 0.153
0.500 0.113 0.887
0.500 0.887 0.113
0.591 0.591 0.847
0.591 0.847 0.591
0.847 0.591 0.591
0.887 0.113 0.500
0.887 0.500 0.113
0.269 0.269 0.716
0.269 0.716 0.269
0.284 0.731 0.731
0.716 0.269 0.269
0.731 0.284 0.731
0.731 0.731 0.284
```

## Properties
energy of formation	-41	kJ/mol of formula units
E	-1.53	eV/atom
SG	R-3m (166)

(3)
NbTc | PBE | optimized geometry

Geometry as POSCAR:
```
NbTc
1.0
5.255 0.000 0.000
0.000 5.255 0.000
0.000 0.000 5.255
Nb Tc
4 4
Direct
0.000 0.000 0.000
0.000 0.500 0.500
0.500 0.000 0.500
0.500 0.500 0.000
0.000 0.000 0.500
0.000 0.500 0.000
0.500 0.000 0.000
0.500 0.500 0.500
```

## Properties
energy of formation	135	kJ/mol of formula units
E	-9.52	eV/atom
SG	Fm-3m (225)

(4)
SrLi4Zr | PBE | optimized geometry

Geometry as POSCAR:
```
SrLi4Zr
1.0
0.000 4.195 4.195
4.195 0.000 4.195
4.195 4.195 0.000
Sr Li Zr
1 4 1
Direct
0.000 0.000 0.000
0.379 0.379 0.379
0.379 0.379 0.864
0.379 0.864 0.379
0.864 0.379 0.379
0.750 0.750 0.750
```

## Properties
energy of formation	185	kJ/mol of formula units
E	-2.66	eV/atom
SG	F-43m (216)

(5)
Fe2SiPb | PBE | optimized geometry

Geometry as POSCAR:
```
Fe2SiPb
1.0
2.956 0.000 0.000
0.000 3.616 0.000
0.000 0.000 12.381
Fe Si Pb
4 2 2
Direct
0.000 0.000 0.000
0.000 0.500 0.338
0.500 0.000 0.838
0.500 0.500 0.500
0.000 0.000 0.460
0.500 0.500 0.960
0.000 0.500 0.700
0.500 0.000 0.200
```

## Properties
E	-6.32	eV/atom
formation energy without anion corrections	0.193	eV/atom
SG	Imm2 (44)

(6)
KBa2LiNi | PBE | optimized geometry

Geometry as POSCAR:
```
KBa2LiNi
1.0
6.106 0.000 0.000
0.000 6.106 0.000
0.000 0.000 5.658
K Ba Li Ni
1 2 1 1
Direct
0.000 0.000 0.000
0.000 0.500 0.500
0.500 0.000 0.500
0.500 0.500 0.000
0.500 0.500 0.500
```

## Properties
energy of formation	75	kJ/mol of formula units
E	-2.37	eV/atom
SG	P4/mmm (123)

(7)
ZrTa3 | PBE | optimized geometry

Geometry as POSCAR:
```
ZrTa3
1.0
3.360 0.000 0.000
0.000 3.360 0.000
0.000 0.000 6.886
Zr Ta
1 3
Direct
0.000 0.000 0.000
0.000 0.000 0.500
0.500 0.500 0.274
0.500 0.500 0.726
```

## Properties
energy of formation	33	kJ/mol of formula units
E	-10.94	eV/atom
SG	P4/mmm (123)

(8)
NaLuRh4 | PBE | optimized geometry

Geometry as POSCAR:
```
NaLuRh4
1.0
0.000 3.719 3.719
3.719 0.000 3.719
3.719 3.719 0.000
Na Lu Rh
1 1 4
Direct
0.000 0.000 0.000
0.250 0.250 0.250
0.125 0.625 0.625
0.625 0.125 0.625
0.625 0.625 0.125
0.625 0.625 0.625
```

## Properties
energy of formation	-198	kJ/mol of formula units
E	-6.22	eV/atom
SG	F-43m (216)

> Which formula does entry 3 have?

NbTc

> Number 1 is which compound?

Tb8Sm2Y3

What did the fourth record say?
SrLi4Zr | PBE | optimized geometry

Geometry as POSCAR:
```
SrLi4Zr
1.0
0.000 4.195 4.195
4.195 0.000 4.195
4.195 4.195 0.000
Sr Li Zr
1 4 1
Direct
0.000 0.000 0.000
0.379 0.379 0.379
0.379 0.379 0.864
0.379 0.864 0.379
0.864 0.379 0.379
0.750 0.750 0.750
```

## Properties
energy of formation	185	kJ/mol of formula units
E	-2.66	eV/atom
SG	F-43m (216)